{
  "formula": "Li3Ti3CoS8",
  "functional": "PBE",
  "state": "optimized geometry",
  "lattice": [[-5.4056, 2.6101, 3.3041], [5.2002, -2.7183, 3.5503], [1.0963, 6.4527, -3.3013]],
  "species": ["S", "S", "S", "Li", "Li", "S", "Li", "S", "Ti", "Co", "S", "S", "Ti", "Ti", "S"],
  "frac_coords": [[0.7660, 0.5319, 0.2766], [0.7451, 0.4904, 0.7355], [0.2445, 0.0105, 0.2766], [0.0000, 0.5000, 0.0000], [0.0000, 0.0000, 0.0000], [0.2343, 0.9895, 0.7237], [0.5000, 0.5000, 0.0000], [0.2549, 0.5096, 0.2645], [0.5000, 0.5000, 0.5000], [0.0000, 0.0000, 0.5000], [0.7657, 0.0105, 0.2763], [0.2340, 0.4681, 0.7234], [0.5000, 0.0000, 0.5000], [0.0000, 0.5000, 0.5000], [0.7555, 0.9895, 0.7234]],
  "total_magnetization_mub_per_fu": 1.29,
  "raw_formation_energy_ev_per_atom": -1.1967,
  "dos_ef_per_ev_cell": 7.35
}



{
  "formula": "Li3U2CoS6",
  "functional": "PBE",
  "state": "optimized geometry",
  "lattice": [[-1.5228, -6.1640, 0.7433], [3.1721, 3.0911, 4.6096], [-5.9850, 2.6801, 0.8520]],
  "species": ["Li", "S", "Li", "Li", "S", "S", "S", "S", "U", "S", "Co", "U"],
  "frac_coords": [[0.8352, 0.1648, 0.5000], [0.6005, 0.9170, 0.7507], [0.1648, 0.8352, 0.5000], [0.5000, 0.5000, 0.5000], [0.2342, 0.2342, 0.7549], [0.9170, 0.6005, 0.7507], [0.7658, 0.7658, 0.2451], [0.3995, 0.0830, 0.2493], [0.3328, 0.6672, 0.0000], [0.0830, 0.3995, 0.2493], [0.0000, 0.0000, 0.0000], [0.6672, 0.3328, 0.0000]],
  "total_magnetization_mub_per_fu": 5.96,
  "raw_formation_energy_ev_per_atom": -1.1685,
  "dos_ef_per_ev_cell": 10.37
}



{
  "formula": "Li2U2CoS6",
  "functional": "PBE",
  "state": "optimized geometry",
  "lattice": [[6.4130, -0.0297, 0.0974], [-3.1955, 5.5603, 0.0974], [-1.1072, -1.9032, 6.1647]],
  "species": ["S", "S", "S", "S", "Li", "Co", "U", "Li", "U", "S", "S"],
  "frac_coords": [[0.7771, 0.7771, 0.7393], [0.3992, 0.0718, 0.7401], [0.6008, 0.9282, 0.2599], [0.0718, 0.3992, 0.7401], [0.1661, 0.8339, 0.0000], [0.0000, 0.0000, 0.5000], [0.3390, 0.6610, 0.5000], [0.8339, 0.1661, 0.0000], [0.6610, 0.3390, 0.5000], [0.2229, 0.2229, 0.2607], [0.9282, 0.6008, 0.2599]],
  "total_magnetization_mub_per_fu": 4.87,
  "raw_formation_energy_ev_per_atom": -1.1106,
  "dos_ef_per_ev_cell": 13.31
}



{
  "formula": "Li3U3CoS8",
  "functional": "PBE",
  "state": "optimized geometry",
  "lattice": [[-4.2786, -0.8335, -6.0528], [-1.8768, -3.3654, 6.3865], [-0.6748, 7.5710, -0.5637]],
  "species": ["Li", "S", "Co", "S", "S", "S", "S", "S", "S", "S", "U", "U", "U", "Li", "Li"],
  "frac_coords": [[0.0000, 0.0000, 0.0000], [0.2335, 0.9987, 0.2638], [0.0000, 0.0000, 0.5000], [0.7650, 0.5301, 0.2637], [0.7650, 0.9987, 0.2637], [0.2451, 0.4903, 0.2354], [0.2350, 0.4699, 0.7363], [0.7549, 0.5097, 0.7646], [0.7665, 0.0013, 0.7362], [0.2350, 0.0013, 0.7363], [0.5000, 0.5000, 0.5000], [0.5000, 0.0000, 0.5000], [0.0000, 0.5000, 0.5000], [0.0000, 0.5000, 0.0000], [0.5000, 0.5000, 0.0000]],
  "total_magnetization_mub_per_fu": 7.90,
  "raw_formation_energy_ev_per_atom": -1.1908,
  "dos_ef_per_ev_cell": 8.32
}